Sr6ZnRu2O12 | SCAN | PBEsol geometry

Output
formation energy from raw total energies	-2.364	eV/atom
total moment	0.0	μB per cell
space group	C2/m

Cell lengths 5.470, 6.882, 8.656 Å; angles 112.16, 108.42, 90.00 degrees
Fractional positions:
O  0.387  0.320  0.774
O  0.613  0.680  0.226
O  0.055  0.331  0.110
Sr  0.111  0.707  0.222
O  0.827  0.002  0.177
Ru  0.671  0.998  0.341
Sr  0.452  0.714  0.904
Sr  0.548  0.286  0.096
O  0.500  0.000  0.500
O  0.721  0.320  0.441
Ru  0.329  0.002  0.659
Sr  0.207  0.296  0.415
O  0.173  0.998  0.823
O  0.650  0.998  0.823
Zn  0.000  0.000  0.000
O  0.350  0.002  0.177
Sr  0.889  0.293  0.778
O  0.279  0.680  0.559
O  0.945  0.669  0.890
Sr  0.793  0.704  0.585
O  0.000  0.000  0.500

Tb2Ru2O7 | SCAN | PBEsol geometry

Output
formation energy from raw total energies	-2.464	eV/atom
total moment	8.0	μB per cell
space group	Fd-3m

Cell lengths 7.135, 7.135, 7.135 Å; angles 60.00, 60.00, 60.00 degrees
Last column: magnetic moment on the atom in μB.
Fractional positions:
O  0.709  0.291  0.709  0.11
O  0.291  0.709  0.709  0.11
Ru  0.125  0.625  0.625  1.54
Tb  0.125  0.125  0.125  0.05
O  0.709  0.709  0.291  0.11
O  0.959  0.959  0.541  0.11
Tb  0.125  0.125  0.625  0.05
O  0.250  0.250  0.250  0.00
Ru  0.625  0.125  0.625  1.54
O  0.959  0.541  0.541  0.11
O  0.541  0.959  0.541  0.11
O  0.541  0.541  0.959  0.11
Ru  0.625  0.625  0.625  1.54
O  0.541  0.959  0.959  0.11
O  0.709  0.291  0.291  0.11
O  0.291  0.709  0.291  0.11
Ru  0.625  0.625  0.125  1.54
Tb  0.125  0.625  0.125  0.05
O  0.291  0.291  0.709  0.11
O  0.000  0.000  0.000  0.00
Tb  0.625  0.125  0.125  0.05
O  0.959  0.541  0.959  0.11

Tb3RuO7 | SCAN | PBEsol geometry

Output
formation energy from raw total energies	-3.070	eV/atom
total moment	6.0	μB per cell
space group	Cmcm

Cell lengths 6.346, 6.346, 7.316 Å; angles 90.00, 90.00, 110.96 degrees
Last column: magnetic moment on the atom in μB.
Fractional positions:
Tb  0.000  0.000  0.000  0.02
Ru  0.500  0.500  0.000  2.01
O  0.893  0.158  0.750  0.02
O  0.437  0.181  0.041  0.15
Tb  0.476  0.921  0.250  0.03
Tb  0.524  0.079  0.750  0.03
O  0.563  0.819  0.541  0.15
Tb  0.921  0.476  0.250  0.03
O  0.590  0.590  0.250  0.13
O  0.158  0.893  0.750  0.02
O  0.107  0.842  0.250  0.02
O  0.181  0.437  0.041  0.15
Ru  0.500  0.500  0.500  2.01
O  0.819  0.563  0.541  0.15
O  0.410  0.410  0.750  0.13
Tb  0.000  0.000  0.500  0.02
O  0.437  0.181  0.459  0.15
O  0.563  0.819  0.959  0.15
Tb  0.079  0.524  0.750  0.03
O  0.819  0.563  0.959  0.15
O  0.181  0.437  0.459  0.15
O  0.842  0.107  0.250  0.02